VASP calculation (GGA-PBE) on crystalline TaBeSb2 at its relaxed geometry.

```
TaBeSb2
1.0
-2.226 -2.114 1.846
1.666 -2.897 -1.309
4.900 -1.893 3.740
Ta Sb Be
1 2 1
Direct
0.500 0.250 0.250 Ta
0.000 0.929 0.994 Sb
0.000 0.571 0.506 Sb
0.500 0.750 0.750 Be
```

## Properties
* formation energy without anion corrections: 0.315 eV per atom
* E: -5.641 eV per atom
* magnetic moment: 0.00 μB/f.u.